The following is a DFT calculation (PBE) of an optimized crystal structure of HgOsSe3.

The structure in CIF format:
```
data_HgOsSe3
_chemical_formula_sum 'Hg1 Os1 Se3'
_space_group_name_H-M_alt 'P 1'
_space_group_IT_number 1
_cell_length_a 4.9521
_cell_length_b 4.9521
_cell_length_c 4.9521
_cell_angle_alpha 90.00
_cell_angle_beta 90.00
_cell_angle_gamma 90.00
loop_
_space_group_symop_operation_xyz
'x,y,z'
loop_
_atom_site_label
_atom_site_type_symbol
_atom_site_fract_x
_atom_site_fract_y
_atom_site_fract_z
Hg1 Hg 0.0000 0.0000 0.0000
Os1 Os 0.5000 0.5000 0.5000
Se1 Se 0.0000 0.5000 0.5000
Se2 Se 0.5000 0.0000 0.5000
Se3 Se 0.5000 0.5000 0.0000
```

Output
**Magnetization**: 0.00 μB per cell
**V**: 121.4 Å³/f.u.
**Energy relative to the elements, uncorrected**: 2.70 eV/f.u.
**Electronic total energy**: -3.86 eV/atom

***

The following is a DFT calculation (PBE) of an optimized crystal structure of HgOsSe2.

The structure in CIF format:
```
data_HgOsSe2
_chemical_formula_sum 'Hg1 Os1 Se2'
_space_group_name_H-M_alt 'P 1'
_space_group_IT_number 1
_cell_length_a 5.1406
_cell_length_b 5.1406
_cell_length_c 5.1406
_cell_angle_alpha 131.42
_cell_angle_beta 131.42
_cell_angle_gamma 71.14
loop_
_space_group_symop_operation_xyz
'x,y,z'
loop_
_atom_site_label
_atom_site_type_symbol
_atom_site_fract_x
_atom_site_fract_y
_atom_site_fract_z
Hg1 Hg 0.0000 0.0000 0.0000
Os1 Os 0.2500 0.7500 0.5000
Se1 Se 0.5000 0.5000 0.0000
Se2 Se 0.7500 0.2500 0.5000
```

Output
**Magnetization**: 0.00 μB per cell
**V**: 74.8 Å³/f.u.
**Energy relative to the elements, uncorrected**: 4.08 eV/f.u.
**Electronic total energy**: -3.60 eV/atom

***

The following is a DFT calculation (PBE) of an optimized crystal structure of HgOsSe2.

The structure in CIF format:
```
data_HgOsSe2
_chemical_formula_sum 'Hg1 Os1 Se2'
_space_group_name_H-M_alt 'P 1'
_space_group_IT_number 1
_cell_length_a 5.6307
_cell_length_b 5.6307
_cell_length_c 5.3987
_cell_angle_alpha 108.41
_cell_angle_beta 108.41
_cell_angle_gamma 32.72
loop_
_space_group_symop_operation_xyz
'x,y,z'
loop_
_atom_site_label
_atom_site_type_symbol
_atom_site_fract_x
_atom_site_fract_y
_atom_site_fract_z
Hg1 Hg 0.0000 0.0000 0.0000
Os1 Os 0.2604 0.2604 0.9963
Se1 Se 0.6645 0.6645 0.6289
Se2 Se 0.8283 0.8283 0.3708
```

Output
**Magnetization**: 0.00 μB per cell
**V**: 87.4 Å³/f.u.
**Energy relative to the elements, uncorrected**: 1.04 eV/f.u.
**Electronic total energy**: -4.37 eV/atom

***

> Look up the energy relative to the elements, uncorrected of the second one.

4.08 eV/f.u.